Entry 1:
Density functional theory data (PBE) for a geometry-optimized Sm2HfPd9 structure.

Cell lengths 4.109, 4.109, 12.401 Å; angles 90.00, 90.00, 90.00 degrees
Fractional positions:
1 Sm 0.000 0.000 0.330
2 Sm 0.000 0.000 0.670
3 Pd 0.500 0.500 0.327
4 Pd 0.500 0.500 0.673
5 Pd 0.500 0.000 0.155
6 Pd 0.500 0.500 0.000
7 Pd 0.000 0.500 0.155
8 Pd 0.000 0.500 0.845
9 Pd 0.000 0.500 0.500
10 Pd 0.500 0.000 0.845
11 Pd 0.500 0.000 0.500
12 Hf 0.000 0.000 0.000

Calculated values
Energy, eV per atom: -6.351
Mass density, g/cm3: 11.40
E_form, meV per atom: -841


Entry 2:
Density functional theory data (PBE) for a geometry-optimized Tl2AgSn6 structure.

Cell lengths 6.392, 6.805, 6.805 Å; angles 59.98, 90.06, 90.06 degrees
Fractional positions:
1 Sn 0.321 0.826 0.826
2 Sn 0.321 0.349 0.825
3 Sn 0.679 0.175 0.651
4 Sn 0.679 0.651 0.175
5 Sn 0.679 0.174 0.174
6 Sn 0.321 0.825 0.349
7 Tl 0.157 0.333 0.333
8 Tl 0.843 0.667 0.667
9 Ag 0.000 0.000 0.000

Calculated values
Energy, eV per atom: -3.478
Mass density, g/cm3: 7.96
E_form, meV per atom: 33
Excess energy over the best structure of this formula in the dataset, eV per formula unit: 0.000


Entry 3:
Density functional theory data (PBE) for a geometry-optimized YErHgPb structure.

Cell lengths 3.949, 5.218, 5.198 Å; angles 90.00, 90.00, 90.00 degrees
Fractional positions:
1 Hg 0.000 0.000 0.000
2 Er 0.500 0.000 0.500
3 Pb 0.000 0.500 0.500
4 Y 0.500 0.500 0.000

Calculated values
Energy, eV per atom: -4.219
Mass density, g/cm3: 10.29
E_form, meV per atom: -460
Excess energy over the best structure of this formula in the dataset, eV per formula unit: 0.000


Entry 4:
Density functional theory data (PBE) for a geometry-optimized Dy4InRu structure.

Cell lengths 9.629, 9.629, 9.629 Å; angles 60.00, 60.00, 60.00 degrees
Fractional positions:
1 Ru 0.611 0.167 0.611
2 Ru 0.611 0.611 0.167
3 Ru 0.167 0.611 0.611
4 Ru 0.611 0.611 0.611
5 Dy 0.191 0.809 0.809
6 Dy 0.402 0.793 0.402
7 Dy 0.402 0.402 0.402
8 Dy 0.941 0.559 0.941
9 Dy 0.809 0.191 0.191
10 Dy 0.191 0.191 0.809
11 Dy 0.809 0.809 0.191
12 Dy 0.402 0.402 0.793
13 Dy 0.559 0.941 0.559
14 Dy 0.559 0.941 0.941
15 Dy 0.559 0.559 0.941
16 Dy 0.793 0.402 0.402
17 Dy 0.941 0.941 0.559
18 Dy 0.809 0.191 0.809
19 Dy 0.191 0.809 0.191
20 Dy 0.941 0.559 0.559
21 In 0.168 0.168 0.168
22 In 0.168 0.168 0.497
23 In 0.497 0.168 0.168
24 In 0.168 0.497 0.168

Calculated values
Energy, eV per atom: -5.474
Mass density, g/cm3: 9.11
E_form, meV per atom: -403
Excess energy over the best structure of this formula in the dataset, eV per formula unit: 0.000


Entry 5:
Density functional theory data (PBE) for a geometry-optimized AgMoI2N structure.

Cell lengths 5.906, 5.906, 3.894 Å; angles 90.00, 90.00, 90.00 degrees
Last column: magnetic moment on the atom in μB.
Fractional positions:
1 Mo 0.500 0.500 0.500  3.77
2 Ag 0.000 0.000 0.000  0.01
3 N 0.000 0.000 0.500  0.03
4 I 0.500 0.000 0.000  -0.02
5 I 0.000 0.500 0.000  -0.02

Calculated values
Energy, eV per atom: -3.451
Mass density, g/cm3: 5.77
ΔE_f (raw), meV per atom: 1571
Excess energy over the best structure of this formula in the dataset, eV per formula unit: 6.195


Entry 6:
Density functional theory data (PBE) for a geometry-optimized BaNbRe3 structure.

Cell lengths 4.874, 4.874, 4.874 Å; angles 90.00, 90.00, 90.00 degrees
Fractional positions:
1 Re 0.000 0.500 0.000
2 Re 0.500 0.000 0.000
3 Re 0.000 0.000 0.500
4 Ba 0.000 0.000 0.000
5 Nb 0.500 0.500 0.500

Calculated values
Energy, eV per atom: -6.123
Mass density, g/cm3: 11.31
E_form, meV per atom: 3745
Excess energy over the best structure of this formula in the dataset, eV per formula unit: 9.559


Entry 7:
Density functional theory data (PBE) for a geometry-optimized SrUNbO6 structure.

Cell lengths 5.634, 5.634, 10.498 Å; angles 90.00, 90.00, 120.00 degrees
Last column: magnetic moment on the atom in μB.
Fractional positions:
1 Sr 0.000 0.000 0.500  0.00
2 Sr 0.000 0.000 0.000  0.00
3 O 0.017 0.637 0.354  -0.01
4 O 0.983 0.620 0.854  -0.01
5 O 0.637 0.017 0.854  -0.01
6 O 0.637 0.620 0.646  -0.01
7 O 0.380 0.363 0.854  -0.01
8 O 0.620 0.983 0.354  -0.01
9 O 0.380 0.017 0.646  -0.01
10 O 0.363 0.380 0.354  -0.01
11 O 0.983 0.363 0.646  -0.01
12 O 0.363 0.983 0.146  -0.01
13 O 0.017 0.380 0.146  -0.01
14 O 0.620 0.637 0.146  -0.01
15 Nb 0.333 0.667 0.250  -0.01
16 Nb 0.667 0.333 0.750  -0.01
17 U 0.667 0.333 0.250  1.08
18 U 0.333 0.667 0.750  1.08

Calculated values
Energy, eV per atom: -8.865
Mass density, g/cm3: 5.92
ΔE_f (raw), meV per atom: -3000


Entry 8:
Density functional theory data (PBE) for a geometry-optimized Pu2Hg structure.

Cell lengths 6.029, 6.029, 6.029 Å; angles 60.00, 60.00, 60.00 degrees
Last column: magnetic moment on the atom in μB.
Fractional positions:
1 Hg 0.000 0.000 0.000  0.00
2 Hg 0.250 0.250 0.250  0.00
3 Pu 0.125 0.625 0.625  5.67
4 Pu 0.625 0.125 0.625  5.67
5 Pu 0.625 0.625 0.625  5.67
6 Pu 0.625 0.625 0.125  5.67

Calculated values
Energy, eV per atom: -9.393
Mass density, g/cm3: 14.75
E_form, meV per atom: 262